ScHgCl2 after structural relaxation. Source: Alexandria, functional GGA-PBEsol.

Unit cell a=3.295 b=3.295 c=7.565 alpha=90.00 beta=90.00 gamma=90.00
Positions (direct):
Sc: 0.500 0.500 0.773
Hg: 0.000 0.000 0.503
Cl: 0.000 0.000 0.943
Cl: 0.500 0.500 0.282

Values from the calculation:
Final energy (eV per atom): -3.792
ΔE to the lowest computed polymorph (meV per atom): 257
SG: P4mm, No. 99
Formation energy (no corrections) (eV/atom): -0.995
Crystal system: tetragonal

---

CsTbNb6Br18 after structural relaxation. Source: Alexandria, functional GGA-PBEsol.

Unit cell a=9.676 b=9.676 c=18.041 alpha=90.00 beta=90.00 gamma=120.00
Positions (direct):
Cs: 0.667 0.333 0.250
Cs: 0.333 0.667 0.750
Tb: 0.333 0.667 0.250
Tb: 0.667 0.333 0.750
Nb: 0.153 0.191 0.434
Nb: 0.847 0.809 0.566
Nb: 0.037 0.847 0.434
Nb: 0.153 0.963 0.066
Nb: 0.963 0.153 0.566
Nb: 0.847 0.037 0.934
Nb: 0.809 0.963 0.434
Nb: 0.037 0.191 0.066
Nb: 0.191 0.037 0.566
Nb: 0.963 0.809 0.934
Nb: 0.809 0.847 0.066
Nb: 0.191 0.153 0.934
Br: 0.368 0.448 0.339
Br: 0.632 0.552 0.661
Br: 0.080 0.632 0.339
Br: 0.368 0.920 0.161
Br: 0.920 0.368 0.661
Br: 0.632 0.080 0.839
Br: 0.552 0.920 0.339
Br: 0.080 0.448 0.161
Br: 0.448 0.080 0.661
Br: 0.920 0.552 0.839
Br: 0.552 0.632 0.161
Br: 0.448 0.368 0.839
Br: 0.956 0.190 0.338
Br: 0.044 0.810 0.662
Br: 0.234 0.044 0.338
Br: 0.956 0.766 0.162
Br: 0.766 0.956 0.662
Br: 0.044 0.234 0.838
Br: 0.810 0.766 0.338
Br: 0.234 0.190 0.162
Br: 0.190 0.234 0.662
Br: 0.766 0.810 0.838
Br: 0.810 0.044 0.162
Br: 0.190 0.956 0.838
Br: 0.722 0.144 0.500
Br: 0.278 0.856 0.500
Br: 0.422 0.278 0.500
Br: 0.722 0.578 0.000
Br: 0.578 0.722 0.500
Br: 0.278 0.422 0.000
Br: 0.856 0.578 0.500
Br: 0.422 0.144 0.000
Br: 0.144 0.422 0.500
Br: 0.578 0.856 0.000
Br: 0.856 0.278 0.000
Br: 0.144 0.722 0.000

Values from the calculation:
Final energy (eV per atom): -5.166
SG: P-31c, No. 163
Formation energy (no corrections) (eV/atom): -1.145
Crystal system: trigonal

---

CaSc2P after structural relaxation. Source: Alexandria, functional GGA-PBEsol.

Unit cell a=3.182 b=5.366 c=5.880 alpha=116.59 beta=104.82 gamma=91.85
Positions (direct):
Ca: 0.000 0.500 0.000
P: 0.500 0.000 0.000
Sc: 0.500 0.500 0.500
Sc: 0.000 0.000 0.500

Values from the calculation:
Final energy (eV per atom): -5.441
SG: C2/m, No. 12
Formation enthalpy at 0 K (kcal/mol of atoms): -3.6
Crystal system: monoclinic

---

CdInW2 after structural relaxation. Source: Alexandria, functional GGA-PBEsol.

Unit cell a=2.899 b=2.899 c=9.794 alpha=81.49 beta=81.49 gamma=60.00
Positions (direct):
Cd: 0.500 0.500 0.500
In: 0.000 0.000 0.000
W: 0.250 0.250 0.249
W: 0.750 0.750 0.751

Values from the calculation:
Final energy (eV per atom): -7.280
ΔE to the lowest computed polymorph (meV per atom): 48
SG: R-3m, No. 166
Formation enthalpy at 0 K (kcal/mol of atoms): 15.4
Crystal system: trigonal